No. 1
Below is crystalline CsAsIrO at its relaxed geometry, with properties calculated at the PBE level.

For the raw total energy, the calculation gives -5.139 eV/atom. The crystal system is tetragonal.

The structure belongs to space group P4/nmm (No. 129, origin choice 2); the cell edges are 4.0500, 4.0500 and 11.7875 Å and the angles 90.00°, 90.00° and 90.00°. The distinct sites, in fractional coordinates, are Cs at (0.2500, 0.2500, 0.1635), As at (0.2500, 0.2500, 0.6185), Ir at (0.2500, 0.7500, 0.5000) and O at (0.2500, 0.7500, 0.0000).


No. 2
Below is crystalline NbZnNiAg at its relaxed geometry, with properties calculated at the PBE level.

For the raw total energy, the calculation gives -4.735 eV/atom. The crystal system is cubic.

The structure belongs to space group F-43m (No. 216); the cell edges are 6.2343, 6.2343 and 6.2343 Å and the angles 90.00°, 90.00° and 90.00°. The distinct sites, in fractional coordinates, are Nb at (0.0000, 0.0000, 0.0000), Zn at (0.2500, 0.2500, 0.2500), Ni at (0.0000, 0.0000, 0.5000) and Ag at (0.2500, 0.2500, 0.7500).


No. 3
Below is crystalline Lu2ThAg2 at its relaxed geometry, with properties calculated at the PBE level.

For the raw total energy, the calculation gives -4.478 eV/atom. The crystal system is orthorhombic.

The structure belongs to space group Cmcm (No. 63); the cell edges are 5.1473, 8.7399 and 11.1714 Å and the angles 90.00°, 90.00° and 90.00°. The distinct sites, in fractional coordinates, are Lu at (0.0000, 0.1745, 0.0718), Th at (0.0000, 0.1556, 0.7500) and Ag at (0.0000, 0.4847, 0.6229).


No. 4
Below is crystalline KAsPdO at its relaxed geometry, with properties calculated at the PBE level.

For the raw total energy, the calculation gives -4.338 eV/atom. The crystal system is orthorhombic.

The structure belongs to space group Pmc2_1 (No. 26); the cell edges are 3.8227, 5.6482 and 7.9022 Å and the angles 90.00°, 90.00° and 90.00°. The distinct sites, in fractional coordinates, are K at (0.0000, 0.1627, 0.0000), As at (0.5000, 0.3258, 0.6571), Pd at (0.5000, 0.3419, 0.3463) and O at (0.0000, 0.2500, 0.3282).


No. 5
Below is crystalline Y2Zn3W4N3 at its relaxed geometry, with properties calculated at the PBE level.

For the raw total energy, the calculation gives -8.158 eV/atom. The crystal system is monoclinic.

The structure belongs to space group C2/c (No. 15); the cell edges are 9.5381, 5.5548 and 13.6037 Å and the angles 90.00°, 103.43° and 90.00°. The distinct sites, in fractional coordinates, are Y at (0.0410, 0.0811, 0.3812), Zn at (0.0000, 0.4308, 0.7500), Zn at (0.2434, 0.1589, 0.7500), W at (0.1103, 0.4250, 0.5751), W at (0.2202, 0.4175, 0.9254), N at (0.0777, 0.2336, 0.9998) and N at (0.2500, 0.2500, 0.5000).


No. 6
Below is crystalline ReAgAsO at its relaxed geometry, with properties calculated at the PBE level.

For the raw total energy, the calculation gives -5.993 eV/atom. The crystal system is tetragonal.

The structure belongs to space group P4/nmm (No. 129, origin choice 2); the cell edges are 3.5291, 3.5291 and 9.5170 Å and the angles 90.00°, 90.00° and 90.00°. The distinct sites, in fractional coordinates, are Re at (0.2500, 0.2500, 0.1299), Ag at (0.2500, 0.7500, 0.5000), As at (0.2500, 0.2500, 0.7415) and O at (0.2500, 0.7500, 0.0000).


No. 7
Below is crystalline DyMgTl at its relaxed geometry, with properties calculated at the PBE level.

For the raw total energy, the calculation gives -3.163 eV/atom. The crystal system is hexagonal.

The structure belongs to space group P-62m (No. 189); the cell edges are 7.5230, 7.5230 and 4.6598 Å and the angles 90.00°, 90.00° and 120.00°. The distinct sites, in fractional coordinates, are Dy at (0.0000, 0.5684, 0.0000), Mg at (0.0000, 0.2426, 0.5000), Tl at (0.0000, 0.0000, 0.0000) and Tl at (0.3333, 0.6667, 0.5000).


No. 8
Below is crystalline BiPt9 at its relaxed geometry, with properties calculated at the PBE level.

For the raw total energy, the calculation gives -5.778 eV/atom. The crystal system is tetragonal.

The structure belongs to space group P4/nmm (No. 129, origin choice 2); the cell edges are 2.9312, 2.9312 and 49.8150 Å and the angles 90.00°, 90.00° and 90.00°. The distinct sites, in fractional coordinates, are Bi at (0.2500, 0.2500, 0.1390), Pt at (0.2500, 0.2500, 0.2205), Pt at (0.2500, 0.2500, 0.2947), Pt at (0.2500, 0.2500, 0.3691), Pt at (0.2500, 0.2500, 0.4439), Pt at (0.2500, 0.2500, 0.5187), Pt at (0.2500, 0.2500, 0.5935), Pt at (0.2500, 0.2500, 0.6682), Pt at (0.2500, 0.2500, 0.7424) and Pt at (0.2500, 0.2500, 0.8183).


No. 9
Below is crystalline Sm3Mg3Ga2Pt at its relaxed geometry, with properties calculated at the PBE level.

For the raw total energy, the calculation gives -4.074 eV/atom. The crystal system is hexagonal.

The structure belongs to space group P-62m (No. 189); the cell edges are 7.4337, 7.4337 and 4.3616 Å and the angles 90.00°, 90.00° and 120.00°. The distinct sites, in fractional coordinates, are Sm at (0.0000, 0.5899, 0.0000), Mg at (0.0000, 0.2379, 0.5000), Ga at (0.3333, 0.6667, 0.5000) and Pt at (0.0000, 0.0000, 0.0000).


Question: Which of these has the lowest raw total energy?
Answer: Y2Zn3W4N3


Question: Which formula does entry 5 have?
Answer: Y2Zn3W4N3